(1)
The following is a DFT calculation (PBE) of K2In3AgSe6 after structural relaxation.

abc: 11.8776 11.8623 21.7537
angles: 90.00 98.10 90.00
Space group C2/c (No. 15)
Unique sites:
K  0.0690  0.1771  0.0826 (multiplicity 8)
K  0.1546  0.4504  0.4173 (multiplicity 8)
In  0.0352  0.1853  0.8887 (multiplicity 8)
In  0.2139  0.4367  0.6120 (multiplicity 8)
In  0.2467  0.1867  0.7500 (multiplicity 8)
Ag  0.0000  0.0629  0.2500 (multiplicity 4)
Ag  0.0000  0.4351  0.7500 (multiplicity 4)
Se  0.0456  0.3361  0.5398 (multiplicity 8)
Se  0.1002  0.4256  0.1750 (multiplicity 8)
Se  0.1175  0.0539  0.6745 (multiplicity 8)
Se  0.1397  0.2012  0.3253 (multiplicity 8)
Se  0.1546  0.0355  0.9604 (multiplicity 8)
Se  0.1554  0.3177  0.8259 (multiplicity 8)

## Properties
For the calculated volume, the calculation gives 3034 Å³ per cell. Its energy is -3.6085 eV per atom.


(2)
The following is a DFT calculation (PBE) of K2In3AgSe6 after structural relaxation.

abc: 11.8758 11.8904 21.7738
angles: 90.00 98.05 90.00
Space group C2/c (No. 15)
Unique sites:
K  0.0939  0.2016  0.0827 (multiplicity 8)
K  0.1794  0.4255  0.4173 (multiplicity 8)
In  0.0000  0.0596  0.2500 (multiplicity 4)
In  0.0000  0.4338  0.7500 (multiplicity 4)
In  0.0360  0.1871  0.8884 (multiplicity 8)
In  0.2153  0.4361  0.6123 (multiplicity 8)
Ag  0.2490  0.1868  0.7500 (multiplicity 8)
Se  0.0937  0.4338  0.1749 (multiplicity 8)
Se  0.0955  0.2871  0.5403 (multiplicity 8)
Se  0.1120  0.0508  0.6745 (multiplicity 8)
Se  0.1312  0.1936  0.3248 (multiplicity 8)
Se  0.1512  0.3231  0.8254 (multiplicity 8)
Se  0.2032  0.0851  0.9599 (multiplicity 8)

## Properties
For the calculated volume, the calculation gives 3044 Å³ per cell. Its energy is -3.6086 eV per atom.


Q: What is the formula in the second record?
A: K2In3AgSe6


Q: calculated volume of number 1 (K2In3AgSe6)?
A: 3034 Å³ per cell